(1)
Below is a relaxed HfTe8Cl6 crystal, with properties calculated at the PBE-GGA level.

Structure (POSCAR):
```
HfTe8Cl6
1.0
-1.7610 6.1172 3.8172
-8.2078 -0.3731 -4.1382
-0.6261 -11.8721 11.9945
Cl Te Hf
12 16 2
Cartesian
-9.8226 -4.4449 10.0741
-0.7723 -1.6831 1.5995
-1.0172 -4.8726 8.1168
-8.2553 -6.9105 12.0211
-9.5778 -1.2554 3.5567
-7.5103 -4.1902 1.1293
-3.0846 -1.9378 10.5443
-7.9233 1.2267 -2.2786
-2.3396 0.7825 -0.3475
-2.4805 -5.2779 4.9919
-2.6716 -7.3547 13.9522
-8.1144 -0.8501 6.6816
-5.4883 -2.7091 3.6409
-7.1666 -4.1106 6.3248
-6.4029 -0.4051 0.1629
-6.4076 -4.6999 10.1754
-5.1342 -8.9406 9.6442
-4.2762 0.6306 5.4769
-7.4425 0.9196 2.3377
-6.3187 -6.7586 6.1966
-3.4283 -2.0174 5.3488
-4.1920 -5.7229 11.5107
-5.1067 -3.4189 8.0327
-5.4607 2.8126 2.0293
-7.2358 -7.3453 8.7157
-3.3592 1.2173 2.9579
-4.1873 -1.4281 1.4982
-3.1524 -7.0476 9.3359
-0.3131 -5.9360 5.9973
0.0000 0.0000 0.0000
```

SG	P-1
total energy	-113.610	eV for the cell shown



(2)
Below is a relaxed HfTe6Cl6 crystal, with properties calculated at the PBE-GGA level.

Structure (POSCAR):
```
HfTe6Cl6
1.0
-2.8518 8.9771 6.6049
-3.2405 -7.1341 8.2973
12.1111 0.2249 4.9234
Te Hf Cl
24 4 24
Cartesian
3.3635 0.9967 7.8898
0.6605 3.0968 12.3164
1.9673 0.9787 15.7594
2.6554 1.0713 11.9358
-5.1949 3.3519 12.6258
1.1095 -0.5753 13.5063
-0.8974 -1.5089 2.2764
0.2842 1.0193 2.5347
-4.1414 -0.6728 11.3717
9.1258 -0.9589 9.0407
-1.4811 1.1549 12.2721
1.4094 0.7234 5.1816
-3.1069 3.0268 10.7849
7.5000 0.9131 7.5535
5.3584 -1.0288 7.5092
10.1602 2.7408 8.4539
7.9062 1.1688 14.0703
4.0516 1.0892 4.0662
4.9094 2.6433 6.3193
5.1582 -1.3964 4.7381
4.6095 1.3445 14.6441
-1.8873 0.8992 5.7553
0.8607 3.4644 15.0875
5.7346 1.0487 17.2909
0.2441 5.1713 7.8447
6.0432 4.7191 10.9632
5.7747 -3.1034 11.9809
-0.0243 -2.6511 8.8624
2.2658 -2.7471 7.8953
0.0225 -0.2129 8.6359
-0.9861 -2.8075 6.5733
5.9964 2.2809 11.1897
0.8835 -2.5552 11.1628
7.4519 -1.3137 12.3114
4.8549 -2.7933 14.2295
6.0507 7.1404 10.8341
-0.0318 -5.0724 8.9915
7.0049 4.8755 13.2523
6.6813 -3.5123 9.7695
1.1640 4.8613 5.5961
-2.2818 -2.6140 9.8760
-0.6625 5.5802 10.0561
3.7530 4.8151 11.9303
1.7323 3.4405 8.8010
-1.4330 3.3817 7.5142
-1.3115 6.8844 6.9311
1.9404 6.9448 8.2530
7.3304 -4.8165 12.8945
8.3007 4.6819 9.9496
4.0785 -4.8769 11.5726
5.1354 4.6232 8.6628
4.2866 -1.3725 11.0246
```

SG	Pbcm
total energy	-202.058	eV for the cell shown



(3)
Below is a relaxed HfTiCl3 crystal, with properties calculated at the PBE-GGA level.

Structure (POSCAR):
```
HfTiCl3
1.0
-1.3001 0.5315 2.9846
-2.9455 -8.2108 -1.6436
8.5367 -0.2441 3.7621
Ti Cl Hf
2 6 2
Cartesian
3.0754 -6.8954 4.3905
1.2157 -1.0280 0.7127
1.8321 -1.8362 2.9479
4.5821 -4.8495 4.6824
-0.2910 -3.0738 0.4207
5.7791 -1.2109 2.7331
-1.4880 -6.7124 2.3700
2.4590 -6.0872 2.1552
-2.5675 -6.5868 0.0546
6.8586 -1.3366 5.0485
```

SG	C2/m
relative energy among the computed polymorphs	0.0000	eV per atom



(4)
Below is a relaxed HfTiCl crystal, with properties calculated at the PBE-GGA level.

Structure (POSCAR):
```
HfTiCl
1.0
-1.3152 -2.5953 1.1875
0.0858 -4.0078 -4.5061
5.9969 -2.3251 5.7185
Cl Ti Hf
2 2 2
Cartesian
4.2243 -6.5687 2.7967
0.5432 -2.3594 -0.3969
1.2714 -3.7181 1.5983
3.4961 -5.2101 0.8015
1.1652 -6.4009 -0.2247
3.6023 -2.5272 2.6245
```

SG	C2/m
total energy	-42.572	eV for the cell shown